(1)
Entry from Alexandria: crystalline Ba2CuSnHg6 at its relaxed geometry (PBE).

For the formation energy, the calculation gives -0.25 eV per atom. The calculation puts the density of states at the Fermi level at 0.513 states/eV/atom.

It has space group Pmmn (No. 59, origin choice 2), with a = 7.780 Å, b = 9.959 Å, c = 7.860 Å, α = 90.00°, β = 90.00° and γ = 90.00°. The distinct sites, in fractional coordinates, are Ba at (0.250, 0.023, 0.242), Cu at (0.250, 0.250, 0.591), Sn at (0.250, 0.750, 0.906), Hg at (0.059, 0.250, 0.893), Hg at (0.061, 0.750, 0.522) and Hg at (0.250, 0.000, 0.709).


(2)
Entry from Alexandria: crystalline Ba2CuSnHg at its relaxed geometry (PBE).

For the formation energy, the calculation gives -0.31 eV per atom. The calculation puts the density of states at the Fermi level at 0.733 states/eV/atom.

It has space group P4/mmm (No. 123), with a = 6.260 Å, b = 6.260 Å, c = 4.846 Å, α = 90.00°, β = 90.00° and γ = 90.00°. The distinct sites, in fractional coordinates, are Ba at (0.000, 0.500, 0.000), Cu at (0.000, 0.000, 0.000), Sn at (0.000, 0.000, 0.500) and Hg at (0.500, 0.500, 0.500).


(3)
Entry from Alexandria: crystalline BaCuSn2Hg at its relaxed geometry (PBE).

For the formation energy, the calculation gives -0.17 eV per atom. The calculation puts the density of states at the Fermi level at 0.696 states/eV/atom.

It has space group P4/mmm (No. 123), with a = 5.209 Å, b = 5.209 Å, c = 5.353 Å, α = 90.00°, β = 90.00° and γ = 90.00°. The distinct sites, in fractional coordinates, are Ba at (0.000, 0.000, 0.000), Cu at (0.500, 0.500, 0.500), Sn at (0.000, 0.500, 0.500) and Hg at (0.500, 0.500, 0.000).